Entry from Alexandria via LeMat-Bulk: a relaxed BaLi2IrW crystal (PBE-GGA).

It has space group P4/mmm (No. 123), with a = 4.435 Å, b = 4.435 Å, c = 5.280 Å, α = 90.00°, β = 90.00° and γ = 90.00°. The asymmetric unit holds Ba at (0.000, 0.000, 0.000), Li at (0.000, 0.500, 0.000), Ir at (0.000, 0.000, 0.500) and W at (0.500, 0.500, 0.500).

Its density of states at the Fermi level is 7.98 states/eV per cell. Its calculated density is 8.4 Mg/m³. The total energy is -3.45 eV/atom.